[1]
ReOs2Ru: relaxed, PBE.

Structure (CIF):
```
data_ReOs2Ru
_space_group_name_H-M_alt 'P 1'
_space_group_IT_number 1
_cell_length_a 4.721
_cell_length_b 4.721
_cell_length_c 4.721
_cell_angle_alpha 131.65
_cell_angle_beta 131.65
_cell_angle_gamma 70.78
loop_
_space_group_symop_operation_xyz
'x,y,z'
loop_
_atom_site_label
_atom_site_type_symbol
_atom_site_fract_x
_atom_site_fract_y
_atom_site_fract_z
Os1 Os 0.500 0.500 0.000
Re1 Re 0.750 0.250 0.500
Ru1 Ru 0.250 0.750 0.500
Os2 Os 0.000 0.000 0.000
```

## Properties
- V: 14.386 A^3/atom
- Formation energy from the elements: 6 kJ/mol of atoms
- Total magnetic moment: 0.00 μB/cell

***

[2]
Re2OsRu: relaxed, PBE.

Structure (CIF):
```
data_Re2OsRu
_space_group_name_H-M_alt 'P 1'
_space_group_IT_number 1
_cell_length_a 2.753
_cell_length_b 4.762
_cell_length_c 9.813
_cell_angle_alpha 113.80
_cell_angle_beta 98.06
_cell_angle_gamma 90.05
loop_
_space_group_symop_operation_xyz
'x,y,z'
loop_
_atom_site_label
_atom_site_type_symbol
_atom_site_fract_x
_atom_site_fract_y
_atom_site_fract_z
Os1 Os 0.294 0.485 0.075
Re1 Re 0.168 0.939 0.822
Re2 Re 0.417 0.355 0.320
Re3 Re 0.917 0.855 0.320
Ru1 Ru 0.541 0.896 0.567
Ru2 Ru 0.041 0.396 0.567
Os2 Os 0.794 0.985 0.075
Re4 Re 0.668 0.439 0.822
```

## Properties
- V: 14.541 A^3/atom
- Formation energy from the elements: -2 kJ/mol of atoms
- Total magnetic moment: 0.00 μB/cell

***

[3]
ReOs2Ru: relaxed, PBE.

Structure (CIF):
```
data_ReOs2Ru
_space_group_name_H-M_alt 'P 1'
_space_group_IT_number 1
_cell_length_a 2.697
_cell_length_b 2.697
_cell_length_c 9.180
_cell_angle_alpha 90.00
_cell_angle_beta 90.00
_cell_angle_gamma 117.38
loop_
_space_group_symop_operation_xyz
'x,y,z'
loop_
_atom_site_label
_atom_site_type_symbol
_atom_site_fract_x
_atom_site_fract_y
_atom_site_fract_z
Os1 Os 0.000 0.000 0.000
Re1 Re 0.500 0.500 0.250
Os2 Os 0.000 0.000 0.500
Ru1 Ru 0.500 0.500 0.750
```

## Properties
- V: 14.824 A^3/atom
- Formation energy from the elements: 56 kJ/mol of atoms
- Total magnetic moment: 1.03 μB/cell

***

[4]
ReOsRu2: relaxed, PBE.

Structure (CIF):
```
data_ReOsRu2
_space_group_name_H-M_alt 'P 1'
_space_group_IT_number 1
_cell_length_a 4.350
_cell_length_b 4.759
_cell_length_c 10.997
_cell_angle_alpha 90.00
_cell_angle_beta 90.00
_cell_angle_gamma 90.00
loop_
_space_group_symop_operation_xyz
'x,y,z'
loop_
_atom_site_label
_atom_site_type_symbol
_atom_site_fract_x
_atom_site_fract_y
_atom_site_fract_z
Ru1 Ru 0.250 0.589 0.188
Ru2 Ru 0.250 0.581 0.438
Os1 Os 0.750 0.419 0.313
Re1 Re 0.750 0.417 0.064
Ru3 Ru 0.250 0.089 0.312
Ru4 Ru 0.750 0.411 0.812
Ru5 Ru 0.750 0.919 0.938
Ru6 Ru 0.250 0.081 0.062
Re2 Re 0.750 0.917 0.436
Ru7 Ru 0.750 0.911 0.688
Os2 Os 0.250 0.581 0.687
Re3 Re 0.250 0.583 0.936
Re4 Re 0.250 0.083 0.564
Os3 Os 0.750 0.919 0.187
Ru8 Ru 0.750 0.419 0.562
Os4 Os 0.250 0.081 0.813
```

## Properties
- V: 14.229 A^3/atom
- Formation energy from the elements: -5 kJ/mol of atoms
- Total magnetic moment: 0.00 μB/cell

***

[5]
ReOs2Ru: relaxed, PBE.

Structure (CIF):
```
data_ReOs2Ru
_space_group_name_H-M_alt 'P 1'
_space_group_IT_number 1
_cell_length_a 9.051
_cell_length_b 9.051
_cell_length_c 9.051
_cell_angle_alpha 17.36
_cell_angle_beta 17.36
_cell_angle_gamma 17.36
loop_
_space_group_symop_operation_xyz
'x,y,z'
loop_
_atom_site_label
_atom_site_type_symbol
_atom_site_fract_x
_atom_site_fract_y
_atom_site_fract_z
Ru1 Ru 0.750 0.750 0.750
Os1 Os 0.001 0.001 0.001
Re1 Re 0.250 0.250 0.250
Os2 Os 0.499 0.499 0.499
```

## Properties
- V: 14.410 A^3/atom
- Formation energy from the elements: 9 kJ/mol of atoms
- Total magnetic moment: 0.00 μB/cell

***

[6]
Re2Os2Ru: relaxed, PBE.

Structure (CIF):
```
data_Re2Os2Ru
_space_group_name_H-M_alt 'P 1'
_space_group_IT_number 1
_cell_length_a 4.745
_cell_length_b 5.472
_cell_length_c 11.300
_cell_angle_alpha 90.00
_cell_angle_beta 98.41
_cell_angle_gamma 90.00
loop_
_space_group_symop_operation_xyz
'x,y,z'
loop_
_atom_site_label
_atom_site_type_symbol
_atom_site_fract_x
_atom_site_fract_y
_atom_site_fract_z
Os1 Os 0.451 0.126 0.101
Re1 Re 0.848 0.122 0.301
Os2 Os 0.248 0.128 0.499
Ru1 Ru 0.849 0.623 0.300
Re2 Re 0.348 0.378 0.301
Re3 Re 0.152 0.878 0.699
Re4 Re 0.549 0.375 0.900
Re5 Re 0.652 0.622 0.699
Ru2 Ru 0.651 0.123 0.700
Os3 Os 0.549 0.874 0.899
Os4 Os 0.951 0.374 0.101
Ru3 Ru 0.349 0.877 0.300
Os5 Os 0.752 0.872 0.501
Re6 Re 0.951 0.875 0.100
Ru4 Ru 0.151 0.377 0.700
Re7 Re 0.049 0.125 0.900
Os6 Os 0.049 0.626 0.899
Os7 Os 0.252 0.628 0.501
Os8 Os 0.748 0.372 0.499
Re8 Re 0.451 0.625 0.100
```

## Properties
- V: 14.514 A^3/atom
- Formation energy from the elements: 6 kJ/mol of atoms
- Total magnetic moment: 0.00 μB/cell

***

[7]
ReOs2Ru: relaxed, PBE.

Structure (CIF):
```
data_ReOs2Ru
_space_group_name_H-M_alt 'P 1'
_space_group_IT_number 1
_cell_length_a 4.257
_cell_length_b 4.257
_cell_length_c 4.660
_cell_angle_alpha 62.82
_cell_angle_beta 62.82
_cell_angle_gamma 60.00
loop_
_space_group_symop_operation_xyz
'x,y,z'
loop_
_atom_site_label
_atom_site_type_symbol
_atom_site_fract_x
_atom_site_fract_y
_atom_site_fract_z
Ru1 Ru 0.708 0.708 0.877
Re1 Re 0.487 0.487 0.539
Os1 Os 0.042 0.042 0.874
Os2 Os 0.264 0.264 0.209
```

## Properties
- V: 15.537 A^3/atom
- Formation energy from the elements: 54 kJ/mol of atoms
- Total magnetic moment: 0.00 μB/cell

***

[8]
ReOsRu2: relaxed, PBE.

Structure (CIF):
```
data_ReOsRu2
_space_group_name_H-M_alt 'P 1'
_space_group_IT_number 1
_cell_length_a 3.851
_cell_length_b 3.851
_cell_length_c 3.850
_cell_angle_alpha 90.00
_cell_angle_beta 90.00
_cell_angle_gamma 90.00
loop_
_space_group_symop_operation_xyz
'x,y,z'
loop_
_atom_site_label
_atom_site_type_symbol
_atom_site_fract_x
_atom_site_fract_y
_atom_site_fract_z
Ru1 Ru 0.000 0.000 0.000
Re1 Re 0.000 0.500 0.500
Ru2 Ru 0.500 0.500 0.000
Os1 Os 0.500 0.000 0.500
```

## Properties
- V: 14.275 A^3/atom
- Formation energy from the elements: 4 kJ/mol of atoms
- Total magnetic moment: 0.00 μB/cell